Record 1
A relaxed SrBeH4O4 crystal, computed with GGA-PBEsol.

Output
total energy: -5.8003 eV per atom
spin magnetization: 0.00 Bohr magnetons per cell
crystal system: tetragonal
symmetry: I4_1/acd (142)
D(E_F): 0.000 states/eV per cell

Lattice parameters (Å, degrees): 9.395 10.760 9.395 64.11 90.00 115.89
Fractional positions:
H  0.829  0.211  0.491
H  0.299  0.789  0.829
H  0.381  0.211  0.299
H  0.723  0.114  0.207
O  0.485  0.762  0.988
O  0.482  0.092  0.701
H  0.421  0.289  0.951
O  0.473  0.738  0.500
O  0.500  0.262  0.265
Be  0.587  0.250  0.125
H  0.543  0.614  0.359
H  0.881  0.211  0.991
O  0.043  0.592  0.640
O  0.207  0.908  0.482
H  0.991  0.789  0.329
H  0.571  0.614  0.859
O  0.768  0.408  0.043
H  0.491  0.789  0.381
H  0.329  0.211  0.799
Be  0.087  0.250  0.125
O  0.985  0.762  0.750
Be  0.663  0.250  0.625
O  0.640  0.408  0.549
O  0.250  0.238  0.485
O  0.982  0.092  0.707
H  0.759  0.711  0.421
H  0.043  0.614  0.527
O  0.701  0.908  0.610
H  0.527  0.386  0.571
O  0.973  0.738  0.262
H  0.869  0.289  0.759
H  0.859  0.386  0.043
Sr  0.000  0.000  0.000
O  0.140  0.408  0.543
O  0.277  0.762  0.250
H  0.359  0.386  0.071
Sr  0.500  0.000  0.000
O  0.750  0.238  0.777
H  0.451  0.711  0.921
H  0.799  0.789  0.881
O  0.988  0.238  0.277
O  0.262  0.262  0.765
Sr  0.750  0.500  0.250
H  0.679  0.886  0.723
Be  0.625  0.750  0.587
O  0.110  0.092  0.201
H  0.207  0.886  0.391
Be  0.625  0.750  0.087
O  0.777  0.762  0.488
Be  0.125  0.750  0.163
Be  0.125  0.750  0.663
O  0.549  0.592  0.768
O  0.268  0.408  0.049
O  0.707  0.908  0.110
O  0.049  0.592  0.140
O  0.543  0.592  0.268
O  0.762  0.262  0.473
H  0.369  0.289  0.451
Sr  0.000  0.000  0.500
Sr  0.750  0.500  0.750
Sr  0.250  0.500  0.750
O  0.265  0.738  0.762
O  0.610  0.092  0.207
O  0.000  0.262  0.973
H  0.391  0.114  0.679
H  0.259  0.711  0.369
H  0.223  0.114  0.179
H  0.921  0.289  0.259
Be  0.163  0.250  0.625
H  0.707  0.886  0.223
H  0.951  0.711  0.869
Sr  0.500  0.000  0.500
O  0.201  0.908  0.982
H  0.179  0.886  0.891
O  0.765  0.738  0.000
H  0.027  0.386  0.543
Sr  0.250  0.500  0.250
H  0.891  0.114  0.707
O  0.488  0.238  0.985
H  0.071  0.614  0.027



Record 2
A relaxed Be3HOs crystal, computed with GGA-PBEsol.

Output
total energy: -5.4918 eV per atom
spin magnetization: 0.01 Bohr magnetons per cell
crystal system: cubic
symmetry: Pm-3m (221)
D(E_F): 2.943 states/eV per cell

Lattice parameters (Å, degrees): 3.410 3.410 3.410 90.00 90.00 90.00
Fractional positions:
Os  0.500  0.500  0.500
Be  0.000  0.500  0.000
Be  0.500  0.000  0.000
Be  0.000  0.000  0.500
H  0.000  0.000  0.000



Record 3
A relaxed BeHOs3 crystal, computed with GGA-PBEsol.

Output
total energy: -6.9659 eV per atom
spin magnetization: 0.00 Bohr magnetons per cell
crystal system: cubic
symmetry: Pm-3m (221)
D(E_F): 6.735 states/eV per cell

Lattice parameters (Å, degrees): 4.029 4.029 4.029 90.00 90.00 90.00
Fractional positions:
Os  0.500  0.000  0.000
Be  0.000  0.000  0.000
H  0.500  0.500  0.500
Os  0.000  0.000  0.500
Os  0.000  0.500  0.000



Record 4
A relaxed TaBeHOs2 crystal, computed with GGA-PBEsol.

Output
total energy: -8.3372 eV per atom
spin magnetization: 0.00 Bohr magnetons per cell
crystal system: tetragonal
symmetry: P4/mmm (123)
D(E_F): 2.186 states/eV per cell

Lattice parameters (Å, degrees): 3.139 4.371 4.371 90.00 90.00 90.00
Fractional positions:
Be  0.000  0.000  0.000
Os  0.000  0.500  0.000
Os  0.000  0.000  0.500
Ta  0.500  0.500  0.500
H  0.500  0.000  0.000



Record 5
A relaxed BePH2S crystal, computed with GGA-PBEsol.

Output
total energy: -3.7989 eV per atom
spin magnetization: 0.00 Bohr magnetons per cell
crystal system: tetragonal
symmetry: P4/mmm (123)
D(E_F): 2.674 states/eV per cell

Lattice parameters (Å, degrees): 3.196 3.196 5.033 90.00 90.00 90.00
Fractional positions:
Be  0.000  0.000  0.500
H  0.000  0.500  0.000
P  0.500  0.500  0.500
S  0.000  0.000  0.000
H  0.500  0.000  0.000



Record 6
A relaxed BeH3Pb crystal, computed with GGA-PBEsol.

Output
total energy: -3.1411 eV per atom
spin magnetization: 0.00 Bohr magnetons per cell
crystal system: cubic
symmetry: Pm-3m (221)
D(E_F): 0.873 states/eV per cell

Lattice parameters (Å, degrees): 3.620 3.620 3.620 90.00 90.00 90.00
Fractional positions:
H  0.500  0.000  0.000
H  0.000  0.000  0.500
Pb  0.500  0.500  0.500
H  0.000  0.500  0.000
Be  0.000  0.000  0.000